Entry 1:
Computed, not measured: a relaxed LaEr2Sc crystal at the PBE level of DFT.

Cell: 3.516 3.516 11.542 Å, 81.24 81.24 60.00°
Element x y z (fractional)
Sc: 0.500 0.500 0.500
La: 0.000 0.000 0.000
Er: 0.755 0.755 0.736
Er: 0.245 0.245 0.264

Values from the calculation:
SG: R-3m
Theoretical density in g/cm3: 7.078
Total DFT energy (no corrections) in eV/cell: -20.2
DFT formation energy in meV/atom: 51.5
Total moment in μB per cell: 0.00
Polymorph energy (0 for the lowest one) in eV/atom: 0.018


Entry 2:
Computed, not measured: a relaxed LaEr6Sc3 crystal at the PBE level of DFT.

Cell: 6.087 10.006 10.006 Å, 99.74 90.00 90.00°
Element x y z (fractional)
La: 0.187 0.165 0.835
La: 0.687 0.835 0.165
Er: 0.147 0.688 0.557
Er: 0.647 0.557 0.688
Er: 0.302 0.555 0.951
Er: 0.802 0.951 0.555
Er: 0.231 0.938 0.062
Er: 0.653 0.260 0.740
Er: 0.153 0.740 0.260
Er: 0.731 0.062 0.938
Er: 0.302 0.049 0.445
Er: 0.802 0.445 0.049
Er: 0.147 0.443 0.312
Er: 0.647 0.312 0.443
Sc: 0.438 0.854 0.769
Sc: 0.938 0.769 0.854
Sc: 0.142 0.378 0.622
Sc: 0.642 0.622 0.378
Sc: 0.938 0.146 0.231
Sc: 0.438 0.231 0.146

Values from the calculation:
SG: Cmc2_1
Theoretical density in g/cm3: 7.061
Total DFT energy (no corrections) in eV/cell: -97.7
DFT formation energy in meV/atom: 243.3
Total moment in μB per cell: 0.00


Entry 3:
Computed, not measured: a relaxed La2Er15Sc2 crystal at the PBE level of DFT.

Cell: 8.622 8.622 8.622 Å, 81.15 81.15 81.15°
Last column: magnetic moment on the atom in μB.
Element x y z (fractional)
La: 0.672 0.672 0.672  0.09
La: 0.328 0.328 0.328  0.09
Er: 0.000 0.500 0.000  0.10
Er: 0.000 0.000 0.500  0.10
Er: 0.500 0.000 0.000  0.10
Er: 0.293 0.000 0.707  0.10
Er: 0.707 0.293 0.000  0.10
Er: 0.000 0.707 0.293  0.10
Er: 0.293 0.707 0.000  0.10
Er: 0.000 0.293 0.707  0.10
Er: 0.707 0.000 0.293  0.10
Er: 0.359 0.855 0.359  0.08
Er: 0.359 0.359 0.855  0.08
Er: 0.855 0.359 0.359  0.08
Er: 0.641 0.145 0.641  0.08
Er: 0.641 0.641 0.145  0.08
Er: 0.145 0.641 0.641  0.08
Sc: 0.907 0.907 0.907  0.33
Sc: 0.093 0.093 0.093  0.33

Values from the calculation:
SG: R-3m
Theoretical density in g/cm3: 7.704
Total DFT energy (no corrections) in eV/cell: -85.8
DFT formation energy in meV/atom: 273.8
Total moment in μB per cell: 3.36


Entry 4:
Computed, not measured: a relaxed LaEr12Sc7 crystal at the PBE level of DFT.

Cell: 9.005 9.005 9.005 Å, 108.25 108.25 108.25°
Element x y z (fractional)
La: 0.000 0.000 0.000
Er: 0.067 0.310 0.833
Er: 0.690 0.167 0.933
Er: 0.619 0.187 0.513
Er: 0.813 0.487 0.381
Er: 0.167 0.933 0.690
Er: 0.487 0.381 0.813
Er: 0.513 0.619 0.187
Er: 0.833 0.067 0.310
Er: 0.187 0.513 0.619
Er: 0.381 0.813 0.487
Er: 0.310 0.833 0.067
Er: 0.933 0.690 0.167
Sc: 0.886 0.584 0.774
Sc: 0.416 0.226 0.114
Sc: 0.226 0.114 0.416
Sc: 0.500 0.500 0.500
Sc: 0.774 0.886 0.584
Sc: 0.584 0.774 0.886
Sc: 0.114 0.416 0.226

Values from the calculation:
SG: R-3
Theoretical density in g/cm3: 6.970
Total DFT energy (no corrections) in eV/cell: -100.3
DFT formation energy in meV/atom: 182.7
Total moment in μB per cell: 0.00


Entry 5:
Computed, not measured: a relaxed La12Er6Sc crystal at the PBE level of DFT.

Cell: 9.616 9.616 9.616 Å, 110.80 110.80 110.80°
Element x y z (fractional)
La: 0.374 0.058 0.582
La: 0.058 0.582 0.374
La: 0.582 0.374 0.058
La: 0.626 0.942 0.418
La: 0.942 0.418 0.626
La: 0.418 0.626 0.942
La: 0.103 0.156 0.739
La: 0.261 0.897 0.844
La: 0.844 0.261 0.897
La: 0.897 0.844 0.261
La: 0.739 0.103 0.156
La: 0.156 0.739 0.103
Er: 0.215 0.316 0.469
Er: 0.684 0.531 0.785
Er: 0.531 0.785 0.684
Er: 0.785 0.684 0.531
Er: 0.316 0.469 0.215
Er: 0.469 0.215 0.316
Sc: 0.000 0.000 0.000

Values from the calculation:
SG: R-3
Theoretical density in g/cm3: 6.951
Total DFT energy (no corrections) in eV/cell: -92.2
DFT formation energy in meV/atom: 34.3
Total moment in μB per cell: 0.00


Entry 6:
Computed, not measured: a relaxed LaEr8Sc2 crystal at the PBE level of DFT.

Cell: 4.926 7.806 10.449 Å, 121.38 103.63 90.00°
Element x y z (fractional)
La: 0.500 0.000 0.000
Er: 0.595 0.729 0.190
Er: 0.316 0.544 0.633
Er: 0.141 0.089 0.282
Er: 0.048 0.371 0.096
Er: 0.859 0.911 0.718
Er: 0.684 0.456 0.367
Er: 0.405 0.271 0.810
Er: 0.952 0.629 0.904
Sc: 0.229 0.823 0.458
Sc: 0.771 0.177 0.542

Values from the calculation:
SG: C2/m
Theoretical density in g/cm3: 7.891
Total DFT energy (no corrections) in eV/cell: -53.6
DFT formation energy in meV/atom: 48.7
Total moment in μB per cell: 0.00
Polymorph energy (0 for the lowest one) in eV/atom: 0.000